## w
First-principles (GGA-PBE) data for an optimized crystal structure of Pr2Y2Hg, as listed in Alexandria.

```
10
Lattice="0.000 5.201 8.385 3.724 0.000 8.385 3.724 5.201 0.000" Properties=species:S:1:pos:R:3 pbc="T T T"
Pr 3.724 5.201 3.413
Pr 5.899 5.201 8.385
Pr 1.548 5.201 8.385
Pr 3.724 5.201 13.357
Y 3.724 3.096 6.649
Y 3.724 3.096 10.121
Y 3.724 7.306 6.649
Y 3.724 7.306 10.121
Hg 1.862 2.600 4.192
Hg 5.586 7.801 12.577
```

Results
- Volume: 162 Å³/f.u.
- N(E_F): 9.46 states/eV per cell
- Total magnetic moment: 0.00 μB per cell

=====

## x
First-principles (GGA-PBE) data for an optimized crystal structure of Pr2Y2Hg, as listed in Alexandria.

```
5
Lattice="-1.831 1.831 11.679 1.831 -1.831 11.679 1.831 1.831 -11.679" Properties=species:S:1:pos:R:3 pbc="T T T"
Pr 0.000 0.000 4.514
Pr 0.000 0.000 18.844
Y 0.000 0.000 9.743
Y 0.000 0.000 13.615
Hg 0.000 0.000 0.000
```

Results
- Volume: 157 Å³/f.u.
- N(E_F): 7.36 states/eV per cell
- Total magnetic moment: 0.56 μB per cell

=====

Short version: x, w, most stable first.

=====

## w
First-principles (GGA-PBE) data for an optimized crystal structure of PrYHg, as listed in Alexandria.

```
12
Lattice="7.030 0.000 0.000 0.000 5.324 0.000 0.000 0.000 9.535" Properties=species:S:1:pos:R:3 pbc="T T T"
Pr 1.273 1.331 0.734
Pr 2.242 3.993 5.501
Pr 4.788 1.331 4.033
Pr 5.757 3.993 8.801
Y 0.094 1.331 6.668
Y 3.421 3.993 1.901
Y 3.609 1.331 7.634
Y 6.936 3.993 2.866
Hg 1.573 1.331 3.839
Hg 1.942 3.993 8.606
Hg 5.088 1.331 0.929
Hg 5.457 3.993 5.696
```

Results
- Volume: 89 Å³/f.u.
- N(E_F): 5.63 states/eV per cell
- Total magnetic moment: 0.00 μB per cell

=====

## x
First-principles (GGA-PBE) data for an optimized crystal structure of PrYHg, as listed in Alexandria.

```
9
Lattice="8.111 0.000 0.000 -4.056 7.025 0.000 0.000 0.000 4.806" Properties=species:S:1:pos:R:3 pbc="T T T"
Pr -2.458 4.258 0.000
Pr 1.598 2.767 0.000
Pr 4.916 0.000 0.000
Y -1.085 1.880 2.403
Y 2.170 0.000 2.403
Y 2.970 5.145 2.403
Hg 0.000 0.000 0.000
Hg 0.000 4.683 2.403
Hg 4.056 2.342 2.403
```

Results
- Volume: 91 Å³/f.u.
- N(E_F): 12.10 states/eV per cell
- Total magnetic moment: 0.00 μB per cell

=====

## y
First-principles (GGA-PBE) data for an optimized crystal structure of PrYHg, as listed in Alexandria.

```
3
Lattice="5.197 0.000 0.000 -2.598 4.500 0.000 0.000 0.000 3.936" Properties=species:S:1:pos:R:3 pbc="T T T"
Pr 0.000 0.000 0.000
Y 2.598 1.500 1.968
Hg 0.000 3.000 1.968
```

Results
- Volume: 92 Å³/f.u.
- N(E_F): 3.97 states/eV per cell
- Total magnetic moment: 0.00 μB per cell

=====

Short version: w, x, y, most stable first.

=====

## w
First-principles (GGA-PBE) data for an optimized crystal structure of Pr3YHg2, as listed in Alexandria.

```
12
Lattice="5.322 0.000 0.000 0.000 9.672 0.000 0.000 0.000 7.127" Properties=species:S:1:pos:R:3 pbc="T T T"
Pr 0.000 0.525 0.000
Pr 0.000 3.183 2.398
Pr 0.000 6.489 5.961
Pr 0.000 9.147 3.563
Pr 2.661 1.705 4.915
Pr 2.661 7.967 1.352
Y 2.661 4.327 0.210
Y 2.661 5.345 3.773
Hg 0.000 3.413 5.615
Hg 0.000 6.259 2.051
Hg 2.661 1.481 1.724
Hg 2.661 8.191 5.287
```

Results
- Volume: 183 Å³/f.u.
- N(E_F): 7.52 states/eV per cell
- Total magnetic moment: 0.00 μB per cell

=====

## x
First-principles (GGA-PBE) data for an optimized crystal structure of Pr3YHg2, as listed in Alexandria.

```
12
Lattice="-3.670 7.547 3.821 3.670 -7.547 3.821 3.670 7.547 -3.821" Properties=species:S:1:pos:R:3 pbc="T T T"
Pr 3.670 -3.436 1.910
Pr 0.000 0.000 1.910
Pr 3.670 3.436 1.910
Pr 0.000 4.111 1.910
Pr 0.000 0.000 5.731
Pr 0.000 10.983 1.910
Y 3.670 0.000 0.000
Y 0.000 7.547 0.000
Hg 1.495 2.062 0.000
Hg 1.495 -2.062 3.821
Hg 2.175 9.608 0.000
Hg 2.175 5.485 3.821
```

Results
- Volume: 212 Å³/f.u.
- N(E_F): 17.79 states/eV per cell
- Total magnetic moment: 0.00 μB per cell

=====

Short version: w, x, most stable first.

=====

## w
First-principles (GGA-PBE) data for an optimized crystal structure of PrY3Hg2, as listed in Alexandria.

```
12
Lattice="5.141 0.000 0.000 0.000 9.382 0.000 0.000 0.000 7.211" Properties=species:S:1:pos:R:3 pbc="T T T"
Pr 0.000 0.547 0.000
Pr 0.000 8.835 3.606
Y 0.000 3.086 4.695
Y 0.000 6.296 1.090
Y 2.571 1.680 2.292
Y 2.571 4.147 6.980
Y 2.571 5.234 3.375
Y 2.571 7.701 5.898
Hg 0.000 3.334 1.632
Hg 0.000 6.048 5.238
Hg 2.571 1.410 5.349
Hg 2.571 7.972 1.743
```

Results
- Volume: 174 Å³/f.u.
- N(E_F): 6.64 states/eV per cell
- Total magnetic moment: 0.00 μB per cell

=====

## x
First-principles (GGA-PBE) data for an optimized crystal structure of PrY3Hg2, as listed in Alexandria.

```
6
Lattice="3.715 0.000 0.000 0.000 3.715 0.000 0.000 0.000 12.498" Properties=species:S:1:pos:R:3 pbc="T T T"
Pr 0.000 0.000 0.000
Y 1.857 1.857 2.532
Y 1.857 1.857 6.249
Y 1.857 1.857 9.966
Hg 0.000 0.000 4.366
Hg 0.000 0.000 8.132
```

Results
- Volume: 172 Å³/f.u.
- N(E_F): 6.89 states/eV per cell
- Total magnetic moment: 0.00 μB per cell

=====

Short version: w, x, most stable first.